No. 1
# AgSbBr2 GGA-PBE relaxed
# Uncorrected energy in eV/f.u.: -9.485
# Excess energy over the best structure of this formula in the dataset in eV per formula unit: 1.76
# SG: Fm-3m (225)
# E_form (uncorrected) in eV/atom: 0.209
data_AgSbBr2
_chemical_formula_sum 'Ag1 Sb1 Br2'
_cell_length_a 5.2472
_cell_length_b 5.2472
_cell_length_c 5.2472
_cell_angle_alpha 60.00
_cell_angle_beta 60.00
_cell_angle_gamma 60.00
_symmetry_space_group_name_H-M 'P 1'
_symmetry_Int_Tables_number 1
loop_
_symmetry_equiv_pos_as_xyz
'x,y,z'
loop_
_atom_site_label
_atom_site_fract_x
_atom_site_fract_y
_atom_site_fract_z
_atom_site_occupancy
Sb1 0.5000 0.5000 0.5000 1
Br1 0.2500 0.2500 0.2500 1
Br2 0.7500 0.7500 0.7500 1
Ag1 0.0000 0.0000 0.0000 1

No. 2
# AgSbBr GGA-PBE relaxed
# Uncorrected energy in eV/f.u.: -8.833
# Excess energy over the best structure of this formula in the dataset in eV per formula unit: 0.26
# SG: Imm2 (44)
# E_form (uncorrected) in eV/atom: -0.062
data_AgSbBr
_chemical_formula_sum 'Ag1 Sb1 Br1'
_cell_length_a 6.5445
_cell_length_b 6.5445
_cell_length_c 6.5445
_cell_angle_alpha 148.12
_cell_angle_beta 139.94
_cell_angle_gamma 52.09
_symmetry_space_group_name_H-M 'P 1'
_symmetry_Int_Tables_number 1
loop_
_symmetry_equiv_pos_as_xyz
'x,y,z'
loop_
_atom_site_label
_atom_site_fract_x
_atom_site_fract_y
_atom_site_fract_z
_atom_site_occupancy
Sb1 0.4339 0.4339 0.0000 1
Br1 0.6554 0.6554 0.0000 1
Ag1 0.9107 0.9107 0.0000 1

No. 3
# Ag2SbBr GGA-PBE relaxed
# Uncorrected energy in eV/f.u.: -9.974
# Excess energy over the best structure of this formula in the dataset in eV per formula unit: 1.74
# SG: Fm-3m (225)
# E_form (uncorrected) in eV/atom: 0.381
data_Ag2SbBr
_chemical_formula_sum 'Ag2 Sb1 Br1'
_cell_length_a 5.1256
_cell_length_b 5.1256
_cell_length_c 5.1256
_cell_angle_alpha 60.00
_cell_angle_beta 60.00
_cell_angle_gamma 60.00
_symmetry_space_group_name_H-M 'P 1'
_symmetry_Int_Tables_number 1
loop_
_symmetry_equiv_pos_as_xyz
'x,y,z'
loop_
_atom_site_label
_atom_site_fract_x
_atom_site_fract_y
_atom_site_fract_z
_atom_site_occupancy
Sb1 0.5000 0.5000 0.5000 1
Br1 0.0000 0.0000 0.0000 1
Ag1 0.2500 0.2500 0.2500 1
Ag2 0.7500 0.7500 0.7500 1

No. 4
# Ag5Sb2Br12 GGA-PBE relaxed
# Uncorrected energy in eV/f.u.: -50.019
# SG: C2/m (12)
# E_form (uncorrected) in eV/atom: -0.392
data_Ag5Sb2Br12
_chemical_formula_sum 'Ag5 Sb2 Br12'
_cell_length_a 7.8659
_cell_length_b 8.4787
_cell_length_c 10.4201
_cell_angle_alpha 103.44
_cell_angle_beta 90.00
_cell_angle_gamma 117.64
_symmetry_space_group_name_H-M 'P 1'
_symmetry_Int_Tables_number 1
loop_
_symmetry_equiv_pos_as_xyz
'x,y,z'
loop_
_atom_site_label
_atom_site_fract_x
_atom_site_fract_y
_atom_site_fract_z
_atom_site_occupancy
Ag1 0.2830 0.5661 0.6134 1
Ag2 0.2775 0.5550 0.3132 1
Ag3 0.0000 0.0000 0.5000 1
Ag4 0.7225 0.4450 0.6868 1
Ag5 0.7170 0.4339 0.3866 1
Sb1 0.7500 0.0000 0.0000 1
Sb2 0.2500 0.0000 0.0000 1
Br1 0.9489 0.8977 0.1635 1
Br2 0.0761 0.6344 0.8360 1
Br3 0.5583 0.6344 0.8360 1
Br4 0.1132 0.7394 0.4748 1
Br5 0.6262 0.7394 0.4748 1
Br6 0.5493 0.0987 0.8329 1
Br7 0.4507 0.9013 0.1671 1
Br8 0.8868 0.2606 0.5252 1
Br9 0.3738 0.2606 0.5252 1
Br10 0.9239 0.3656 0.1640 1
Br11 0.4417 0.3656 0.1640 1
Br12 0.0511 0.1023 0.8365 1

E_form (uncorrected) of number 3 (Ag2SbBr)? 0.381 eV/atom

Among the records above, which one has the lowest uncorrected energy? Ag5Sb2Br12